# LiLaSi3

LiLaSi3 after structural relaxation (GGA-PBE, Alexandria via LeMat-Bulk).

- D(E_F) (states/eV/cell) = 2.7
- E above lowest polymorph (kJ per mole of atoms) = 47.1
- formation energy from raw total energies (eV per atom) = 0.05

Unit cell a=4.5649 b=4.5649 c=4.5649 alpha=90.00 beta=90.00 gamma=90.00
Space group Pm-3m (No. 221)
Inequivalent atoms, fractional coordinates:
Li  0.0000  0.0000  0.0000 (multiplicity 1)
La  0.5000  0.5000  0.5000 (multiplicity 1)
Si  0.0000  0.0000  0.5000 (multiplicity 3)